# 1
Below is GeSN2O after structural relaxation, with properties calculated at the GGA-PBE level.

a = 3.4782 Å, b = 3.4782 Å, c = 4.0989 Å
α = 90.00°, β = 90.00°, γ = 90.00°
Closest atoms and distances in Å follow each position.
Sites, in units of the cell vectors:
Ge 0.0000 0.0000 0.0000  4 O 2.46, 8 N 2.69
S 0.5000 0.5000 0.5000  4 N 1.74
N 0.0000 0.5000 0.5000  2 S 1.74
N 0.5000 0.0000 0.5000  2 S 1.74
O 0.5000 0.5000 0.0000  2 S 2.05

Properties
**Calculated volume**: 50 Å³/f.u.
**Space group**: P4/mmm (123)
**Calculated density**: 5.0 g/cm³
**ΔE_f (raw)**: 5.45 eV per formula unit
**Fermi-level density of states**: 0.87 states/eV per cell
**Size of the total moment**: 0.00 μB/f.u.


# 2
Below is In2CuTe3 after structural relaxation, with properties calculated at the GGA-PBE level.

a = 7.9973 Å, b = 7.9973 Å, c = 7.9973 Å
α = 146.32°, β = 60.14°, γ = 131.73°
Closest atoms and distances in Å follow each position.
Sites, in units of the cell vectors:
In 0.1601 0.0000 0.1601  4 Te 2.93-2.97
In 0.8399 0.0000 0.8399  4 Te 2.93-2.97
Cu 0.5178 0.0178 0.5000  4 Te 2.62-2.63
Te 0.1271 0.7796 0.3474  1 Cu 2.62
Te 0.4322 0.7796 0.6526  1 Cu 2.62
Te 0.7081 0.7081 0.0000  2 Cu 2.63, 2 In 2.93

Properties
**Calculated volume**: 210 Å³/f.u.
**Space group**: Imm2 (44)
**Calculated density**: 5.4 g/cm³
**ΔE_f (raw)**: -1.19 eV per formula unit
**Fermi-level density of states**: 2.84 states/eV per cell
**Size of the total moment**: 0.00 μB/f.u.